Run i
Be2CuPt: optimized geometry, PBE.

Summary:
The calculation puts the calculated density at 10.7 Mg/m³.

Lattice parameters (Å, degrees): 3.9312 5.5618 11.7595 90.00 90.00 90.00
Fractional coordinates of all 24 atoms:
Pt (0.0000, 0.5000, 0.0000)
Pt (0.5000, 0.0000, 0.5000)
Pt (0.5000, 0.0000, 0.8333)
Pt (0.0000, 0.5000, 0.6667)
Be (0.0000, 0.7504, 0.1667)
Be (0.5000, 0.2504, 0.0000)
Be (0.5000, 0.7496, 0.6667)
Be (0.0000, 0.2496, 0.5000)
Be (0.0000, 0.7504, 0.8333)
Pt (0.5000, 0.0000, 0.1667)
Be (0.0000, 0.2496, 0.8333)
Be (0.0000, 0.7504, 0.5000)
Cu (0.0000, 0.0000, 0.0000)
Be (0.5000, 0.2504, 0.3333)
Pt (0.0000, 0.5000, 0.3333)
Be (0.0000, 0.2496, 0.1667)
Cu (0.5000, 0.5000, 0.8333)
Be (0.5000, 0.7496, 0.3333)
Cu (0.0000, 0.0000, 0.6667)
Be (0.5000, 0.7496, 0.0000)
Cu (0.0000, 0.0000, 0.3333)
Cu (0.5000, 0.5000, 0.5000)
Cu (0.5000, 0.5000, 0.1667)
Be (0.5000, 0.2504, 0.6667)

Run ii
Be2CuPt: optimized geometry, PBE.

Summary:
The calculation puts the calculated density at 10.7 Mg/m³.

Lattice parameters (Å, degrees): 5.5914 5.5771 5.5287 90.00 90.00 90.00
Fractional coordinates of all 16 atoms:
Be (0.9998, 0.5000, 0.2501)
Cu (0.7503, 0.2500, 0.4999)
Be (0.5002, 0.5000, 0.7501)
Be (0.0002, 0.5000, 0.7499)
Cu (0.7497, 0.2500, 0.0000)
Be (0.4998, 0.0000, 0.2499)
Be (0.9998, 0.0000, 0.2501)
Pt (0.7500, 0.7500, 0.4999)
Be (0.0002, 0.0000, 0.7499)
Be (0.5002, 0.0000, 0.7501)
Pt (0.2500, 0.2500, 0.0000)
Cu (0.2503, 0.7500, 0.0000)
Pt (0.2500, 0.2500, 0.5001)
Pt (0.7500, 0.7500, 0.0000)
Cu (0.2497, 0.7500, 0.5001)
Be (0.4998, 0.5000, 0.2499)

What is the stability order? It is run i, run ii, from most stable to least stable.